Computed, not measured: Tc2TeBr after structural relaxation at the PBE level of DFT.

Its crystal system is monoclinic. The calculation puts the density at 9392 kg/m³. The value obtained for the raw formation energy is 0.6846 eV/atom. As for the relative energy among the computed polymorphs: 0.519 eV per atom.

The space group is P2/m (No. 10) and the conventional cell measures 4.4748, 3.1547 and 5.5209 Å, with angles of 90.00, 113.75 and 90.00 degrees. Symmetry generates all atoms from Tc at (0.0000, 0.0000, 0.0000), Tc at (0.5000, 0.5000, 0.5000), Te at (0.0000, 0.0000, 0.5000) and Br at (0.5000, 0.5000, 0.0000).


Computed, not measured: Tc2TeBr after structural relaxation at the PBE level of DFT.

Its crystal system is tetragonal. The calculation puts the density at 9160 kg/m³. The value obtained for the raw formation energy is 1.0399 eV/atom. As for the relative energy among the computed polymorphs: 0.874 eV per atom.

The space group is I-4m2 (No. 119) and the conventional cell measures 3.9149, 3.9149 and 9.5455 Å, with angles of 90.00, 90.00 and 90.00 degrees. Symmetry generates all atoms from Tc at (0.0000, 0.0000, 0.0000), Tc at (0.0000, 0.5000, 0.2500), Te at (0.0000, 0.5000, 0.7500) and Br at (0.0000, 0.0000, 0.5000).


Computed, not measured: Tc2TeBr after structural relaxation at the PBE level of DFT.

Its crystal system is tetragonal. The calculation puts the density at 9498 kg/m³. The value obtained for the raw formation energy is 0.6736 eV/atom. As for the relative energy among the computed polymorphs: 0.508 eV per atom.

The space group is P4/mmm (No. 123) and the conventional cell measures 3.2624, 3.2624 and 6.6282 Å, with angles of 90.00, 90.00 and 90.00 degrees. Symmetry generates all atoms from Tc at (0.0000, 0.0000, 0.2288), Te at (0.5000, 0.5000, 0.0000) and Br at (0.5000, 0.5000, 0.5000).


Computed, not measured: Tc2Te2Br after structural relaxation at the PBE level of DFT.

Its crystal system is tetragonal. The calculation puts the density at 7625 kg/m³. The value obtained for the raw formation energy is 0.2425 eV/atom. As for the relative energy among the computed polymorphs: 0.278 eV per atom.

The space group is I4/mmm (No. 139) and the conventional cell measures 5.3123, 5.3123 and 8.1966 Å, with angles of 90.00, 90.00 and 90.00 degrees. Symmetry generates all atoms from Tc at (0.0000, 0.0000, 0.1313), Te at (0.0000, 0.5000, 0.2500) and Br at (0.0000, 0.0000, 0.5000).


Computed, not measured: TcTe2Br after structural relaxation at the PBE level of DFT.

Its crystal system is tetragonal. The calculation puts the density at 7436 kg/m³. The value obtained for the raw formation energy is 0.0379 eV/atom. As for the relative energy among the computed polymorphs: 0.224 eV per atom.

The space group is P4/mmm (No. 123) and the conventional cell measures 3.2247, 3.2247 and 9.3012 Å, with angles of 90.00, 90.00 and 90.00 degrees. Symmetry generates all atoms from Tc at (0.0000, 0.0000, 0.0000), Te at (0.5000, 0.5000, 0.1835) and Br at (0.0000, 0.0000, 0.5000).


Computed, not measured: TcTeBr2 after structural relaxation at the PBE level of DFT.

Its crystal system is trigonal. The calculation puts the density at 5779 kg/m³. The value obtained for the raw formation energy is 0.4599 eV/atom. As for the relative energy among the computed polymorphs: 0.514 eV per atom.

The space group is R-3m (No. 166, hexagonal axes) and the conventional cell measures 3.1383, 3.1383 and 38.9529 Å, with angles of 90.00, 90.00 and 120.00 degrees. Symmetry generates all atoms from Tc at (0.0000, 0.0000, 0.0000), Te at (0.0000, 0.0000, 0.5000) and Br at (0.0000, 0.0000, 0.0609).


Computed, not measured: Tc2TeBr after structural relaxation at the PBE level of DFT.

Its crystal system is orthorhombic. The calculation puts the density at 8715 kg/m³. The value obtained for the raw formation energy is 0.9519 eV/atom. As for the relative energy among the computed polymorphs: 0.786 eV per atom.

The space group is Cmmm (No. 65) and the conventional cell measures 3.1714, 5.6633 and 8.5611 Å, with angles of 90.00, 90.00 and 90.00 degrees. Symmetry generates all atoms from Tc at (0.0000, 0.0000, 0.2402), Te at (0.0000, 0.5000, 0.0000) and Br at (0.0000, 0.5000, 0.5000).


Computed, not measured: Tc2TeBr after structural relaxation at the PBE level of DFT.

Its crystal system is trigonal. The calculation puts the density at 8016 kg/m³. The value obtained for the raw formation energy is 0.3311 eV/atom. As for the relative energy among the computed polymorphs: 0.165 eV per atom.

The space group is R3m (No. 160, hexagonal axes) and the conventional cell measures 3.1240, 3.1240 and 29.6683 Å, with angles of 90.00, 90.00 and 120.00 degrees. Symmetry generates all atoms from Tc at (0.0000, 0.0000, 0.0000), Tc at (0.0000, 0.0000, 0.2659), Te at (0.0000, 0.0000, 0.7373) and Br at (0.0000, 0.0000, 0.5337).


Computed, not measured: TcTe2Br after structural relaxation at the PBE level of DFT.

Its crystal system is orthorhombic. The calculation puts the density at 7478 kg/m³. The value obtained for the raw formation energy is 0.8205 eV/atom. As for the relative energy among the computed polymorphs: 1.007 eV per atom.

The space group is Cmmm (No. 65) and the conventional cell measures 5.8019, 9.6572 and 3.4329 Å, with angles of 90.00, 90.00 and 90.00 degrees. Symmetry generates all atoms from Tc at (0.0000, 0.0000, 0.0000), Te at (0.2500, 0.2500, 0.5000) and Br at (0.0000, 0.5000, 0.0000).


Computed, not measured: TcTe2Br after structural relaxation at the PBE level of DFT.

Its crystal system is trigonal. The calculation puts the density at 6124 kg/m³. The value obtained for the raw formation energy is -0.0060 eV/atom. As for the relative energy among the computed polymorphs: 0.180 eV per atom.

The space group is R-3m (No. 166, hexagonal axes) and the conventional cell measures 4.0242, 4.0242 and 25.1190 Å, with angles of 90.00, 90.00 and 120.00 degrees. Symmetry generates all atoms from Tc at (0.0000, 0.0000, 0.0000), Te at (0.0000, 0.0000, 0.3874) and Br at (0.0000, 0.0000, 0.5000).


Computed, not measured: Tc2TeBr after structural relaxation at the PBE level of DFT.

Its crystal system is orthorhombic. The calculation puts the density at 8617 kg/m³. The value obtained for the raw formation energy is 1.0045 eV/atom. As for the relative energy among the computed polymorphs: 0.839 eV per atom.

The space group is Pmmm (No. 47) and the conventional cell measures 3.0908, 4.3470 and 5.7874 Å, with angles of 90.00, 90.00 and 90.00 degrees. Symmetry generates all atoms from Tc at (0.0000, 0.0000, 0.0000), Tc at (0.5000, 0.0000, 0.5000), Te at (0.0000, 0.5000, 0.5000) and Br at (0.5000, 0.5000, 0.0000).


Computed, not measured: TcTeBr2 after structural relaxation at the PBE level of DFT.

Its crystal system is tetragonal. The calculation puts the density at 6398 kg/m³. The value obtained for the raw formation energy is 0.1762 eV/atom. As for the relative energy among the computed polymorphs: 0.230 eV per atom.

The space group is P4mm (No. 99) and the conventional cell measures 3.1928, 3.1928 and 9.8125 Å, with angles of 90.00, 90.00 and 90.00 degrees. Symmetry generates all atoms from Tc at (0.0000, 0.0000, 0.0000), Te at (0.5000, 0.5000, 0.1651), Br at (0.0000, 0.0000, 0.4862) and Br at (0.5000, 0.5000, 0.8261).